Entry from Alexandria via LeMat-Bulk: an optimized crystal structure of MgCoAs (PBE).

Structure (extended XYZ):
```
3
Lattice="3.116 0.000 0.000 -1.558 2.699 0.000 0.000 0.000 5.860" Properties=species:S:1:pos:R:3 pbc="T T T"
As 0.000 0.000 0.323
Co 1.558 0.900 1.761
Mg 0.000 1.799 3.777
```

M_tot	0.00	Bohr magnetons per cell
formation energy	-1.8	kcal/mol of atoms



Entry from Alexandria via LeMat-Bulk: an optimized crystal structure of MgCoAs4 (PBE).

Structure (extended XYZ):
```
6
Lattice="0.000 3.885 3.885 3.885 0.000 3.885 3.885 3.885 0.000" Properties=species:S:1:pos:R:3 pbc="T T T"
As 4.851 2.919 4.851
As 2.919 4.851 4.851
As 2.919 2.919 2.919
As 4.851 4.851 2.919
Co 5.827 5.827 5.827
Mg 0.000 0.000 0.000
```

M_tot	1.91	Bohr magnetons per cell
formation energy	11.9	kcal/mol of atoms



Entry from Alexandria via LeMat-Bulk: an optimized crystal structure of MgCoAs (PBE).

Structure (extended XYZ):
```
6
Lattice="6.919 -0.012 0.009 -1.174 3.855 -0.010 6.889 -4.190 3.873" Properties=species:S:1:pos:R:3 pbc="T T T"
As 9.706 -0.760 2.549
As 6.249 0.283 1.564
Mg 5.289 -2.094 3.174
Mg 1.830 1.047 0.274
Co 7.684 -1.386 1.852
Co 4.214 -0.332 0.893
```

M_tot	0.00	Bohr magnetons per cell
formation energy	-5.9	kcal/mol of atoms



Entry from Alexandria via LeMat-Bulk: an optimized crystal structure of Mg2CoAs (PBE).

Structure (extended XYZ):
```
4
Lattice="4.939 0.014 0.000 1.784 4.605 0.000 -3.361 -2.310 2.785" Properties=species:S:1:pos:R:3 pbc="T T T"
Mg 0.000 0.000 0.000
Mg 0.892 2.303 1.393
Co 2.469 0.007 1.393
As 3.361 2.310 0.000
```

M_tot	0.00	Bohr magnetons per cell
formation energy	-0.9	kcal/mol of atoms



Entry from Alexandria via LeMat-Bulk: an optimized crystal structure of Mg2CoAs (PBE).

Structure (extended XYZ):
```
4
Lattice="-1.542 5.230 4.304 -2.495 -3.103 -1.066 -0.907 -0.525 3.639" Properties=species:S:1:pos:R:3 pbc="T T T"
Mg 0.000 0.000 0.000
Mg -1.225 2.352 3.972
As -1.701 -1.814 1.286
Co -2.019 1.063 1.619
```

M_tot	1.21	Bohr magnetons per cell
formation energy	-2.0	kcal/mol of atoms



Entry from Alexandria via LeMat-Bulk: an optimized crystal structure of Mg2CoAs (PBE).

Structure (extended XYZ):
```
4
Lattice="-3.086 0.994 -1.396 -0.791 -3.841 -0.987 -2.588 -2.585 3.881" Properties=species:S:1:pos:R:3 pbc="T T T"
Co -3.977 -3.613 1.755
As -1.809 -3.927 1.203
Mg -2.599 -1.399 0.285
Mg -3.150 -6.131 2.596
```

M_tot	0.00	Bohr magnetons per cell
formation energy	-4.7	kcal/mol of atoms



Entry from Alexandria via LeMat-Bulk: an optimized crystal structure of Mg2CoAs (PBE).

Structure (extended XYZ):
```
4
Lattice="3.099 0.000 0.000 0.000 3.099 0.000 0.000 0.000 7.208" Properties=species:S:1:pos:R:3 pbc="T T T"
Mg 0.000 0.000 6.884
Mg 1.550 1.550 2.039
Co 1.550 1.550 5.051
As 0.000 0.000 4.047
```

M_tot	0.00	Bohr magnetons per cell
formation energy	-2.6	kcal/mol of atoms



Entry from Alexandria via LeMat-Bulk: an optimized crystal structure of Mg2CoAs2 (PBE).

Structure (extended XYZ):
```
10
Lattice="-2.810 5.258 -1.511 -2.809 -2.844 -4.673 -3.535 -1.089 2.787" Properties=species:S:1:pos:R:3 pbc="T T T"
Mg -4.972 2.857 -1.342
Mg -5.982 0.697 -3.466
Mg -3.172 0.627 0.070
Mg -4.182 -1.533 -2.055
Co 0.000 0.000 0.000
Co -2.810 1.207 -3.092
As -1.405 -0.237 -1.874
As -4.215 2.651 -4.310
As -2.227 2.982 -1.660
As -3.393 -0.568 -4.524
```

M_tot	0.01	Bohr magnetons per cell
formation energy	-5.3	kcal/mol of atoms



Entry from Alexandria via LeMat-Bulk: an optimized crystal structure of MgCo2As2 (PBE).

Structure (extended XYZ):
```
5
Lattice="4.086 0.000 0.000 0.000 4.086 0.000 2.043 2.043 4.753" Properties=species:S:1:pos:R:3 pbc="T T T"
Mg 0.000 0.000 0.000
As 2.043 4.086 2.376
As 4.086 2.043 2.376
Co 4.086 4.086 3.553
Co 2.043 2.043 1.200
```

M_tot	0.07	Bohr magnetons per cell
formation energy	0.0	kcal/mol of atoms



Entry from Alexandria via LeMat-Bulk: an optimized crystal structure of MgCoAs (PBE).

Structure (extended XYZ):
```
3
Lattice="-2.721 -2.170 1.815 3.548 0.454 1.617 -1.190 2.977 1.775" Properties=species:S:1:pos:R:3 pbc="T T T"
Mg 0.664 1.564 2.867
As -0.198 0.496 0.296
Co -0.830 -0.800 2.044
```

M_tot	0.26	Bohr magnetons per cell
formation energy	-6.0	kcal/mol of atoms



Entry from Alexandria via LeMat-Bulk: an optimized crystal structure of MgCoAs (PBE).

Structure (extended XYZ):
```
6
Lattice="-4.054 3.146 -1.304 -2.928 -3.337 -2.878 -3.301 -1.027 1.867" Properties=species:S:1:pos:R:3 pbc="T T T"
As -4.427 0.386 -2.072
As -2.679 -0.011 0.799
Co -6.113 0.927 -0.622
Co -4.299 -1.711 -3.000
Mg -6.899 -0.744 -2.929
Mg -4.991 -1.559 -0.002
```

M_tot	0.00	Bohr magnetons per cell
formation energy	-6.8	kcal/mol of atoms



Entry from Alexandria via LeMat-Bulk: an optimized crystal structure of Mg2CoAs (PBE).

Structure (extended XYZ):
```
4
Lattice="2.962 0.030 0.000 -0.029 2.962 0.000 0.000 0.000 7.638" Properties=species:S:1:pos:R:3 pbc="T T T"
Mg 0.000 0.000 4.099
Mg 0.000 0.000 7.359
Co 1.466 1.496 5.729
As 1.466 1.496 1.910
```

M_tot	0.60	Bohr magnetons per cell
formation energy	0.0	kcal/mol of atoms



Entry from Alexandria via LeMat-Bulk: an optimized crystal structure of MgCo2As2 (PBE).

Structure (extended XYZ):
```
10
Lattice="6.928 0.000 0.000 0.000 6.928 0.000 0.000 0.000 2.998" Properties=species:S:1:pos:R:3 pbc="T T T"
Mg 3.464 3.464 0.000
Mg 0.000 0.000 0.000
Co 4.373 0.909 0.000
Co 6.019 4.373 0.000
Co 2.555 6.019 0.000
Co 0.909 2.555 0.000
As 5.818 2.355 1.499
As 2.355 1.109 1.499
As 4.573 5.818 1.499
As 1.109 4.573 1.499
```

M_tot	1.58	Bohr magnetons per cell
formation energy	-1.4	kcal/mol of atoms



Entry from Alexandria via LeMat-Bulk: an optimized crystal structure of Mg2CoAs (PBE).

Structure (extended XYZ):
```
8
Lattice="-0.480 -3.706 1.384 3.722 0.049 1.423 -1.446 1.523 9.313" Properties=species:S:1:pos:R:3 pbc="T T T"
Mg 0.169 -0.229 8.052
Mg 1.714 -2.058 9.426
Mg 1.900 -0.090 3.405
Mg -0.191 -1.892 3.357
As 0.000 0.000 0.000
As -0.153 -2.006 6.050
Co 1.621 -1.829 1.403
Co 1.949 -0.128 6.070
```

M_tot	2.37	Bohr magnetons per cell
formation energy	6.5	kcal/mol of atoms